# 1
# LiYMn2

A geometry-optimized LiYMn2 structure (PBE, Alexandria via LeMat-Bulk).

Lattice parameters (Å, degrees): 3.0586 4.4307 4.9244 90.00 101.76 90.00
With the nearest neighbours (Å) after each atom.
Atoms (fractional coordinates):
Li  0.0000  0.0000  0.0000  4 Mn 2.45, 2 Y 2.62
Y  0.5000  0.0000  0.5000  2 Li 2.62
Mn  0.1869  0.5000  0.8415  2 Mn 2.12-2.21
Mn  0.8131  0.5000  0.1585  2 Mn 2.12-2.21

The value obtained for the total energy is -6.1167 eV per atom. As for the space group: P2/m (10). The crystal system is monoclinic. Its energy relative to the lowest polymorph listed for this composition is 317.3 meV/atom. The formation energy is 563 meV/atom.

=====

# 2
# GdDyLuOs

A geometry-optimized GdDyLuOs structure (PBE, Alexandria via LeMat-Bulk).

Lattice parameters (Å, degrees): 7.2222 7.2222 7.2222 90.00 90.00 90.00
With the nearest neighbours (Å) after each atom.
Atoms (fractional coordinates):
Gd  0.0000  0.0000  0.0000  4 Lu 3.13, 4 Os 3.13
Gd  0.0000  0.5000  0.5000  4 Lu 3.13, 4 Os 3.13
Gd  0.5000  0.0000  0.5000  4 Lu 3.13, 4 Os 3.13
Gd  0.5000  0.5000  0.0000  4 Lu 3.13, 4 Os 3.13
Dy  0.0000  0.0000  0.5000  4 Os 3.13, 4 Lu 3.13
Dy  0.0000  0.5000  0.0000  4 Os 3.13, 4 Lu 3.13
Dy  0.5000  0.0000  0.0000  4 Os 3.13, 4 Lu 3.13
Dy  0.5000  0.5000  0.5000  4 Os 3.13, 4 Lu 3.13
Lu  0.2500  0.2500  0.7500  4 Dy 3.13, 4 Gd 3.13
Lu  0.2500  0.7500  0.2500  4 Dy 3.13, 4 Gd 3.13
Lu  0.7500  0.2500  0.2500  4 Dy 3.13, 4 Gd 3.13
Lu  0.7500  0.7500  0.7500  4 Dy 3.13, 4 Gd 3.13
Os  0.2500  0.2500  0.2500  4 Gd 3.13, 4 Dy 3.13
Os  0.2500  0.7500  0.7500  4 Gd 3.13, 4 Dy 3.13
Os  0.7500  0.2500  0.7500  4 Gd 3.13, 4 Dy 3.13
Os  0.7500  0.7500  0.2500  4 Gd 3.13, 4 Dy 3.13

The value obtained for the total energy is -8.5022 eV per atom. As for the space group: F-43m (216). The crystal system is cubic. The formation energy is 106 meV/atom.

=====

# 3
# LuNiAgHg

A geometry-optimized LuNiAgHg structure (PBE, Alexandria via LeMat-Bulk).

Lattice parameters (Å, degrees): 6.6809 6.6809 6.6809 90.00 90.00 90.00
With the nearest neighbours (Å) after each atom.
Atoms (fractional coordinates):
Lu  0.0000  0.0000  0.0000  4 Ni 2.89, 4 Ag 2.89
Lu  0.0000  0.5000  0.5000  4 Ni 2.89, 4 Ag 2.89
Lu  0.5000  0.0000  0.5000  4 Ni 2.89, 4 Ag 2.89
Lu  0.5000  0.5000  0.0000  4 Ni 2.89, 4 Ag 2.89
Ni  0.2500  0.2500  0.7500  4 Hg 2.89, 4 Lu 2.89
Ni  0.2500  0.7500  0.2500  4 Hg 2.89, 4 Lu 2.89
Ni  0.7500  0.2500  0.2500  4 Hg 2.89, 4 Lu 2.89
Ni  0.7500  0.7500  0.7500  4 Hg 2.89, 4 Lu 2.89
Ag  0.2500  0.2500  0.2500  4 Hg 2.89, 4 Lu 2.89
Ag  0.2500  0.7500  0.7500  4 Hg 2.89, 4 Lu 2.89
Ag  0.7500  0.2500  0.7500  4 Hg 2.89, 4 Lu 2.89
Ag  0.7500  0.7500  0.2500  4 Hg 2.89, 4 Lu 2.89
Hg  0.0000  0.0000  0.5000  4 Ni 2.89, 4 Ag 2.89
Hg  0.0000  0.5000  0.0000  4 Ni 2.89, 4 Ag 2.89
Hg  0.5000  0.0000  0.0000  4 Ni 2.89, 4 Ag 2.89
Hg  0.5000  0.5000  0.5000  4 Ni 2.89, 4 Ag 2.89

The value obtained for the total energy is -3.5599 eV per atom. As for the space group: F-43m (216). The crystal system is cubic. The formation energy is -196 meV/atom.

=====

# 4
# K3Np3HgSe8

A geometry-optimized K3Np3HgSe8 structure (PBE, Alexandria via LeMat-Bulk).

Lattice parameters (Å, degrees): 9.1126 9.1126 9.1126 54.82 54.82 54.82
With the nearest neighbours (Å) after each atom.
Atoms (fractional coordinates):
K  0.0000  0.5000  0.5000  6 Se 3.32-3.37
K  0.5000  0.0000  0.5000  6 Se 3.32-3.37
K  0.5000  0.5000  0.0000  6 Se 3.32-3.37
Np  0.0000  0.0000  0.5000  6 Se 2.84-2.89
Np  0.0000  0.5000  0.0000  6 Se 2.84-2.89
Np  0.5000  0.0000  0.0000  6 Se 2.84-2.89
Hg  0.5000  0.5000  0.5000  6 Se 2.97
Se  0.2201  0.7415  0.7415  2 Np 2.84, 1 Hg 2.97
Se  0.2350  0.2350  0.2350  3 Np 2.89
Se  0.2585  0.2585  0.7799  2 Np 2.84, 1 Hg 2.97
Se  0.2585  0.7799  0.2585  2 Np 2.84, 1 Hg 2.97
Se  0.7415  0.2201  0.7415  2 Np 2.84, 1 Hg 2.97
Se  0.7415  0.7415  0.2201  2 Np 2.84, 1 Hg 2.97
Se  0.7650  0.7650  0.7650  3 Np 2.89
Se  0.7799  0.2585  0.2585  2 Np 2.84, 1 Hg 2.97

The value obtained for the total energy is -5.7354 eV per atom. As for the formation energy without anion corrections: -1.049 eV/atom. As for the space group: R-3m (166). The crystal system is trigonal.

=====

# 5
# Np2Al8Pd

A geometry-optimized Np2Al8Pd structure (PBE, Alexandria via LeMat-Bulk).

Lattice parameters (Å, degrees): 4.2761 4.2761 11.2356 90.00 90.00 90.00
With the nearest neighbours (Å) after each atom.
Atoms (fractional coordinates):
Np  0.0000  0.0000  0.1881  12 Al 2.98-3.02
Np  0.0000  0.0000  0.8119  12 Al 2.98-3.02
Al  0.0000  0.5000  0.0000  4 Np 3.01, 8 Al 3.02-3.04
Al  0.0000  0.5000  0.3722  2 Pd 2.58, 1 Al 2.87
Al  0.0000  0.5000  0.6278  2 Pd 2.58, 1 Al 2.87
Al  0.5000  0.0000  0.0000  4 Np 3.01, 8 Al 3.02-3.04
Al  0.5000  0.0000  0.3722  2 Pd 2.58, 1 Al 2.87
Al  0.5000  0.0000  0.6278  2 Pd 2.58, 1 Al 2.87
Al  0.5000  0.5000  0.1927  8 Al 2.94-3.04, 4 Np 3.02
Al  0.5000  0.5000  0.8073  8 Al 2.94-3.04, 4 Np 3.02
Pd  0.0000  0.0000  0.5000  8 Al 2.58

The value obtained for the total energy is -5.8169 eV per atom. As for the space group: P4/mmm (123). The crystal system is tetragonal. The formation energy is -270 meV/atom.

=====

# 6
# Ca4LaBe

A geometry-optimized Ca4LaBe structure (PBE, Alexandria via LeMat-Bulk).

Lattice parameters (Å, degrees): 6.8253 6.8253 6.8253 60.00 60.00 60.00
With the nearest neighbours (Å) after each atom.
Atoms (fractional coordinates):
Ca  0.1254  0.1254  0.1254  6 Ca 3.40-3.42
Ca  0.1254  0.1254  0.6238  6 Ca 3.40-3.42
Ca  0.1254  0.6238  0.1254  6 Ca 3.40-3.42
Ca  0.6238  0.1254  0.1254  6 Ca 3.40-3.42
La  0.7500  0.7500  0.7500  12 Ca 4.00, 4 Be 4.18
Be  0.5000  0.5000  0.5000  12 Ca 4.00, 4 La 4.18

The value obtained for the total energy is -2.0976 eV per atom. As for the space group: F-43m (216). The crystal system is cubic. The formation energy is 679 meV/atom.

=====

Number 1: N(E_F) 4.7 states/eV per cell. Number 2: N(E_F) 14.0 states/eV per cell. Number 3: N(E_F) 8.2 states/eV per cell. Number 4: N(E_F) 30.2 states/eV per cell. Number 5: N(E_F) 16.2 states/eV per cell. Number 6: N(E_F) 8.9 states/eV per cell.